Entry 1:
A crystal of BaFe2Ag relaxed with PBEsol. Source: Alexandria, functional SCAN.

E ... -1.9044 Ry per atom
Formation energy ... 341 kJ/mol of formula units
Magnetic moment ... 10.67 μB per cell

Lattice parameters (Å, degrees): 4.213 4.213 8.808 90.00 90.00 90.00
Space group I4/mmm (No. 139)
Unique sites:
Ba1 0.000 0.000 0.000
Fe1 0.000 0.500 0.250
Ag1 0.000 0.000 0.500

Entry 2:
A crystal of BaFe2Ag relaxed with PBEsol. Source: Alexandria, functional SCAN.

E ... -1.9014 Ry per atom
Formation energy ... 357 kJ/mol of formula units
Magnetic moment ... 5.52 μB per cell

Lattice parameters (Å, degrees): 3.339 4.728 4.942 90.00 90.00 90.00
Space group Pmmm (No. 47)
Unique sites:
Ba1 0.000 0.000 0.000
Fe1 0.000 0.500 0.500
Fe2 0.500 0.500 0.000
Ag1 0.500 0.000 0.500

Entry 3:
A crystal of BaFe2Ag relaxed with PBEsol. Source: Alexandria, functional SCAN.

E ... -1.8976 Ry per atom
Formation energy ... 377 kJ/mol of formula units
Magnetic moment ... 25.54 μB per cell

Lattice parameters (Å, degrees): 6.791 6.791 6.791 90.00 90.00 90.00
Space group Fm-3m (No. 225)
Unique sites:
Ba1 0.000 0.000 0.000
Fe1 0.250 0.250 0.250
Ag1 0.000 0.000 0.500

- The lowest E belongs to which entry?
  number 1

- Which value of E does entry 2 give?
  -1.9014 Ry per atom